1.
Here is a relaxed AcPu2SbO8 crystal from the Alexandria database. Energies are from PBE.

Values from the calculation:
energy relative to the elements, uncorrected	-2.546	eV/atom

Lattice parameters (Å, degrees): 5.2079 5.2214 7.1453 90.00 90.00 88.15
Last column: magnetic moment on the atom in μB.
Positions (direct):
Ac  0.0000  0.0000  0.5000  -0.01
Pu  0.5000  0.5000  0.7563  3.49
Pu  0.5000  0.5000  0.2437  3.49
Sb  0.0000  0.0000  0.0000  -0.05
O  0.2105  0.7875  0.2298  -0.10
O  0.6829  0.6840  0.0000  -0.14
O  0.7895  0.2125  0.2298  -0.10
O  0.7895  0.2125  0.7702  -0.10
O  0.3171  0.3160  0.0000  -0.14
O  0.2105  0.7875  0.7702  -0.10
O  0.6678  0.6698  0.5000  -0.12
O  0.3322  0.3302  0.5000  -0.12

=====

2.
Here is a relaxed Ac2PuScO8 crystal from the Alexandria database. Energies are from PBE.

Values from the calculation:
energy relative to the elements, uncorrected	-2.929	eV/atom

Lattice parameters (Å, degrees): 4.4008 5.6327 7.7234 85.33 91.18 98.34
Last column: magnetic moment on the atom in μB.
Positions (direct):
Ac  0.4799  0.5321  0.7430  -0.01
Ac  0.5201  0.4679  0.2570  -0.01
Pu  0.0000  0.0000  0.0000  1.43
Sc  0.0000  0.0000  0.5000  0.00
O  0.0843  0.7509  0.1801  -0.07
O  0.6055  0.7965  0.9940  -0.07
O  0.9490  0.1937  0.2469  -0.04
O  0.9157  0.2491  0.8199  -0.07
O  0.3945  0.2035  0.0060  -0.07
O  0.0510  0.8063  0.7531  -0.04
O  0.6193  0.7590  0.4737  -0.01
O  0.3807  0.2410  0.5263  -0.01

=====

3.
Here is a relaxed Ac2PuScO6 crystal from the Alexandria database. Energies are from PBE.

Values from the calculation:
energy relative to the elements, uncorrected	-3.256	eV/atom

Lattice parameters (Å, degrees): 5.9705 6.1526 8.5555 90.00 89.75 90.00
Last column: magnetic moment on the atom in μB.
Positions (direct):
Ac  0.0131  0.9515  0.2482  0.03
Ac  0.5131  0.5485  0.7482  0.03
Ac  0.9869  0.0485  0.7518  0.03
Ac  0.4869  0.4515  0.2518  0.03
Pu  0.5000  0.0000  0.5000  4.87
Pu  0.0000  0.5000  0.0000  4.87
Sc  0.5000  0.0000  0.0000  0.05
Sc  0.0000  0.5000  0.5000  0.05
O  0.3089  0.7124  0.0622  -0.02
O  0.8089  0.7876  0.5622  -0.02
O  0.6911  0.2876  0.9378  -0.02
O  0.1911  0.2124  0.4378  -0.02
O  0.2889  0.6913  0.4463  -0.02
O  0.7889  0.8087  0.9463  -0.02
O  0.7111  0.3087  0.5537  -0.02
O  0.2111  0.1913  0.0537  -0.02
O  0.8920  0.5455  0.2615  -0.02
O  0.3920  0.9545  0.7615  -0.02
O  0.1080  0.4545  0.7385  -0.02
O  0.6080  0.0455  0.2385  -0.02

=====

4.
Here is a relaxed AcPuScO6 crystal from the Alexandria database. Energies are from PBE.

Values from the calculation:
energy relative to the elements, uncorrected	-3.104	eV/atom

Lattice parameters (Å, degrees): 5.5911 5.5911 10.5653 90.00 90.00 120.00
Last column: magnetic moment on the atom in μB.
Positions (direct):
Ac  0.0000  0.0000  0.0000  -0.01
Ac  0.0000  0.0000  0.5000  -0.01
Pu  0.6667  0.3333  0.2500  2.43
Pu  0.3333  0.6667  0.7500  2.43
Sc  0.3333  0.6667  0.2500  0.01
Sc  0.6667  0.3333  0.7500  0.01
O  0.6377  0.6303  0.1442  -0.07
O  0.9925  0.3623  0.1442  -0.07
O  0.3623  0.9925  0.6442  -0.07
O  0.0075  0.6377  0.8558  -0.07
O  0.3697  0.3623  0.3558  -0.07
O  0.9925  0.6303  0.3558  -0.07
O  0.6303  0.9925  0.8558  -0.07
O  0.6377  0.0075  0.3558  -0.07
O  0.0075  0.3697  0.6442  -0.07
O  0.3697  0.0075  0.1442  -0.07
O  0.6303  0.6377  0.6442  -0.07
O  0.3623  0.3697  0.8558  -0.07

=====

5.
Here is a relaxed AcPuSeO2 crystal from the Alexandria database. Energies are from PBE.

Values from the calculation:
energy relative to the elements, uncorrected	-2.736	eV/atom

Lattice parameters (Å, degrees): 4.0203 4.0203 7.0254 106.63 106.63 90.00
Last column: magnetic moment on the atom in μB.
Positions (direct):
Ac  0.1456  0.1456  0.2913  0.02
Pu  0.8448  0.8448  0.6896  4.97
Se  0.4967  0.4967  0.9935  -0.04
O  0.7564  0.2564  0.5128  -0.05
O  0.2564  0.7564  0.5128  -0.05

=====

6.
Here is a relaxed AcPu2SeO4 crystal from the Alexandria database. Energies are from PBE.

Values from the calculation:
energy relative to the elements, uncorrected	-2.830	eV/atom

Lattice parameters (Å, degrees): 3.9693 3.9693 9.1438 90.00 90.00 90.00
Last column: magnetic moment on the atom in μB.
Positions (direct):
Ac  0.0000  0.0000  0.0000  0.01
Pu  0.5000  0.5000  0.2919  4.67
Pu  0.5000  0.5000  0.7081  4.67
Se  0.0000  0.0000  0.5000  -0.16
O  0.0000  0.5000  0.1772  -0.10
O  0.5000  0.0000  0.8228  -0.10
O  0.5000  0.0000  0.1772  -0.10
O  0.0000  0.5000  0.8228  -0.10

=====

7.
Here is a relaxed AcPuSi2O8 crystal from the Alexandria database. Energies are from PBE.

Values from the calculation:
energy relative to the elements, uncorrected	-2.826	eV/atom

Lattice parameters (Å, degrees): 6.0181 6.0181 6.0181 106.11 106.11 116.43
Last column: magnetic moment on the atom in μB.
Positions (direct):
Ac  0.0000  0.0000  0.0000  -0.01
Pu  0.2500  0.7500  0.5000  3.71
Si  0.7500  0.2500  0.5000  0.01
Si  0.5000  0.5000  0.0000  0.01
O  0.4068  0.0727  0.3341  -0.08
O  0.3460  0.5325  0.1865  -0.08
O  0.3460  0.1595  0.8135  -0.08
O  0.7386  0.0727  0.6659  -0.08
O  0.8405  0.6540  0.1865  -0.08
O  0.9273  0.2614  0.3341  -0.08
O  0.9273  0.5932  0.6659  -0.08
O  0.4675  0.6540  0.8135  -0.08

=====

8.
Here is a relaxed Ac2PuSiO6 crystal from the Alexandria database. Energies are from PBE.

Values from the calculation:
energy relative to the elements, uncorrected	-2.872	eV/atom

Lattice parameters (Å, degrees): 4.9732 5.5796 5.5796 90.00 90.00 90.00
Last column: magnetic moment on the atom in μB.
Positions (direct):
Ac  0.0310  0.5000  0.0000  0.09
Ac  0.0310  0.0000  0.5000  0.09
Pu  0.5482  0.5000  0.5000  5.32
Si  0.6082  0.0000  0.0000  0.01
O  0.7136  0.2169  0.2169  -0.01
O  0.7136  0.2169  0.7831  -0.01
O  0.1034  0.5000  0.5000  -0.06
O  0.2706  0.0000  0.0000  0.01
O  0.7136  0.7831  0.7831  -0.01
O  0.7136  0.7831  0.2169  -0.01

=====

9.
Here is a relaxed AcSm2PuO8 crystal from the Alexandria database. Energies are from PBE.

Values from the calculation:
energy relative to the elements, uncorrected	-3.005	eV/atom

Lattice parameters (Å, degrees): 4.1366 5.5521 7.6722 90.02 89.98 96.28
Last column: magnetic moment on the atom in μB.
Positions (direct):
Ac  0.0000  0.0000  0.5000  0.00
Sm  0.4998  0.4995  0.7463  0.00
Sm  0.5002  0.5005  0.2537  0.00
Pu  0.0000  0.0000  0.0000  1.48
O  0.0497  0.7619  0.2097  -0.06
O  0.5816  0.7857  0.0000  -0.07
O  0.9496  0.2368  0.2093  -0.06
O  0.9503  0.2381  0.7903  -0.06
O  0.4184  0.2143  0.0000  -0.07
O  0.0504  0.7632  0.7907  -0.06
O  0.4854  0.7353  0.5002  -0.02
O  0.5146  0.2647  0.4998  -0.02

=====

10.
Here is a relaxed Ac2SmPuO6 crystal from the Alexandria database. Energies are from PBE.

Values from the calculation:
energy relative to the elements, uncorrected	-3.203	eV/atom

Lattice parameters (Å, degrees): 6.1250 6.3316 8.8729 90.00 90.30 90.00
Last column: magnetic moment on the atom in μB.
Positions (direct):
Ac  0.0161  0.9502  0.2466  0.03
Ac  0.5161  0.5498  0.7466  0.03
Ac  0.9839  0.0498  0.7534  0.03
Ac  0.4839  0.4502  0.2534  0.03
Sm  0.5000  0.0000  0.0000  0.03
Sm  0.0000  0.5000  0.5000  0.03
Pu  0.5000  0.0000  0.5000  4.89
Pu  0.0000  0.5000  0.0000  4.89
O  0.3013  0.6992  0.0743  -0.02
O  0.8013  0.8008  0.5743  -0.02
O  0.6987  0.3008  0.9257  -0.02
O  0.1987  0.1992  0.4257  -0.02
O  0.3079  0.6950  0.4352  -0.02
O  0.8079  0.8050  0.9352  -0.02
O  0.6921  0.3050  0.5648  -0.02
O  0.1921  0.1950  0.0648  -0.02
O  0.8703  0.5638  0.2509  -0.02
O  0.3703  0.9362  0.7509  -0.02
O  0.1297  0.4362  0.7491  -0.02
O  0.6297  0.0638  0.2491  -0.02

=====

11.
Here is a relaxed Sr2AcPuO6 crystal from the Alexandria database. Energies are from PBE.

Values from the calculation:
energy relative to the elements, uncorrected	-2.998	eV/atom

Lattice parameters (Å, degrees): 6.0984 6.3298 8.8029 90.00 90.19 90.00
Last column: magnetic moment on the atom in μB.
Positions (direct):
Sr  0.0134  0.9525  0.2554  0.00
Sr  0.5134  0.5475  0.7554  0.00
Sr  0.9866  0.0475  0.7446  0.00
Sr  0.4866  0.4525  0.2446  0.00
Ac  0.5000  0.0000  0.0000  -0.01
Ac  0.0000  0.5000  0.5000  -0.01
Pu  0.5000  0.0000  0.5000  3.36
Pu  0.0000  0.5000  0.0000  3.36
O  0.2851  0.6788  0.0535  -0.07
O  0.7851  0.8212  0.5535  -0.07
O  0.7149  0.3212  0.9465  -0.07
O  0.2149  0.1788  0.4465  -0.07
O  0.3219  0.7195  0.4256  -0.06
O  0.8219  0.7805  0.9256  -0.06
O  0.6781  0.2805  0.5744  -0.06
O  0.1781  0.2195  0.0744  -0.06
O  0.8818  0.5611  0.2294  -0.06
O  0.3818  0.9389  0.7294  -0.06
O  0.1182  0.4389  0.7706  -0.06
O  0.6182  0.0611  0.2706  -0.06

=====

12.
Here is a relaxed SrAcPuO6 crystal from the Alexandria database. Energies are from PBE.

Values from the calculation:
energy relative to the elements, uncorrected	-2.805	eV/atom

Lattice parameters (Å, degrees): 6.2019 6.2019 9.4885 90.00 90.00 120.00
Last column: magnetic moment on the atom in μB.
Positions (direct):
Sr  0.0000  0.0000  0.0000  0.00
Sr  0.0000  0.0000  0.5000  0.00
Ac  0.3333  0.6667  0.2500  -0.01
Ac  0.6667  0.3333  0.7500  -0.01
Pu  0.6667  0.3333  0.2500  1.40
Pu  0.3333  0.6667  0.7500  1.40
O  0.6654  0.6086  0.1363  -0.06
O  0.9432  0.3346  0.1363  -0.06
O  0.3346  0.9432  0.6363  -0.06
O  0.0568  0.6654  0.8637  -0.06
O  0.3914  0.3346  0.3637  -0.06
O  0.9432  0.6086  0.3637  -0.06
O  0.6086  0.9432  0.8637  -0.06
O  0.6654  0.0568  0.3637  -0.06
O  0.0568  0.3914  0.6363  -0.06
O  0.3914  0.0568  0.1363  -0.06
O  0.6086  0.6654  0.6363  -0.06
O  0.3346  0.3914  0.8637  -0.06

=====

13.
Here is a relaxed SrAcPu2O8 crystal from the Alexandria database. Energies are from PBE.

Values from the calculation:
energy relative to the elements, uncorrected	-2.811	eV/atom

Lattice parameters (Å, degrees): 5.6145 5.6145 6.6722 114.88 114.88 90.00
Last column: magnetic moment on the atom in μB.
Positions (direct):
Sr  0.7500  0.2500  0.5000  -0.01
Ac  0.0000  0.0000  0.0000  -0.03
Pu  0.5000  0.5000  0.0000  3.32
Pu  0.2500  0.7500  0.5000  3.30
O  0.8756  0.8389  0.2496  -0.18
O  0.3741  0.4107  0.2496  -0.18
O  0.5892  0.6257  0.7502  -0.18
O  0.1610  0.1245  0.7502  -0.18
O  0.8755  0.4108  0.2498  -0.18
O  0.3743  0.8390  0.2498  -0.18
O  0.1611  0.6259  0.7504  -0.18
O  0.5893  0.1244  0.7504  -0.18

=====

14.
Here is a relaxed AcPu2TaO8 crystal from the Alexandria database. Energies are from PBE.

Values from the calculation:
energy relative to the elements, uncorrected	-3.016	eV/atom

Lattice parameters (Å, degrees): 5.1213 5.1187 7.0825 90.00 90.00 89.11
Last column: magnetic moment on the atom in μB.
Positions (direct):
Ac  0.0000  0.0000  0.5000  0.00
Pu  0.5000  0.5000  0.7596  4.22
Pu  0.5000  0.5000  0.2404  4.22
Ta  0.0000  0.0000  0.0000  0.04
O  0.1894  0.8096  0.2059  -0.04
O  0.7126  0.7134  0.0000  -0.09
O  0.8106  0.1904  0.2059  -0.04
O  0.8106  0.1904  0.7941  -0.04
O  0.2874  0.2866  0.0000  -0.09
O  0.1894  0.8096  0.7941  -0.04
O  0.6683  0.6703  0.5000  -0.11
O  0.3317  0.3297  0.5000  -0.11

=====

15.
Here is a relaxed AcTb2PuO8 crystal from the Alexandria database. Energies are from PBE.

Values from the calculation:
energy relative to the elements, uncorrected	-3.034	eV/atom

Lattice parameters (Å, degrees): 4.2082 5.5696 7.6887 86.86 86.59 90.27
Last column: magnetic moment on the atom in μB.
Positions (direct):
Ac  0.0000  0.0000  0.5000  0.00
Tb  0.4422  0.4582  0.7329  0.00
Tb  0.5578  0.5418  0.2671  0.00
Pu  0.0000  0.0000  0.0000  1.42
O  0.0727  0.7262  0.2308  -0.03
O  0.6342  0.7856  0.0031  -0.08
O  0.8585  0.1908  0.1961  -0.07
O  0.9273  0.2738  0.7692  -0.03
O  0.3658  0.2144  0.9969  -0.08
O  0.1415  0.8092  0.8039  -0.07
O  0.5306  0.7361  0.5096  -0.01
O  0.4694  0.2639  0.4904  -0.01

=====

16.
Here is a relaxed AcTbPu2O8 crystal from the Alexandria database. Energies are from PBE.

Values from the calculation:
energy relative to the elements, uncorrected	-3.067	eV/atom

Lattice parameters (Å, degrees): 5.5143 5.5143 6.6699 114.42 114.42 90.00
Last column: magnetic moment on the atom in μB.
Positions (direct):
Ac  0.0000  0.0000  0.0000  -0.01
Tb  0.7500  0.2500  0.5000  0.00
Pu  0.5000  0.5000  0.0000  3.52
Pu  0.2500  0.7500  0.5000  3.64
O  0.8689  0.8552  0.2566  -0.13
O  0.3877  0.4014  0.2566  -0.13
O  0.5981  0.6126  0.7429  -0.13
O  0.1448  0.1303  0.7429  -0.13
O  0.8697  0.4019  0.2571  -0.13
O  0.3874  0.8552  0.2571  -0.13
O  0.1448  0.6123  0.7434  -0.13
O  0.5986  0.1311  0.7434  -0.13

=====

17.
Here is a relaxed AcPuTc2O8 crystal from the Alexandria database. Energies are from PBE.

Values from the calculation:
energy relative to the elements, uncorrected	-1.962	eV/atom

Lattice parameters (Å, degrees): 5.4122 5.4122 7.6154 69.19 69.19 60.00
Last column: magnetic moment on the atom in μB.
Positions (direct):
Ac  0.5000  0.5000  0.5000  0.03
Pu  0.0000  0.0000  0.0000  4.83
Tc  0.2586  0.2586  0.2242  1.39
Tc  0.7414  0.7414  0.7758  1.39
O  0.1709  0.1709  0.4874  0.21
O  0.5978  0.2992  0.1884  0.03
O  0.8291  0.8291  0.5126  0.21
O  0.9146  0.5978  0.1884  0.03
O  0.0854  0.4022  0.8116  0.03
O  0.2992  0.9146  0.1884  0.03
O  0.7008  0.0854  0.8116  0.03
O  0.4022  0.7008  0.8116  0.03

=====

18.
Here is a relaxed AcPu2TeO8 crystal from the Alexandria database. Energies are from PBE.

Values from the calculation:
energy relative to the elements, uncorrected	-2.471	eV/atom

Lattice parameters (Å, degrees): 5.1975 5.2040 7.1420 90.01 90.01 88.59
Last column: magnetic moment on the atom in μB.
Positions (direct):
Ac  0.0000  0.0000  0.5000  -0.01
Pu  0.5000  0.5000  0.7563  3.87
Pu  0.5000  0.5000  0.2437  3.87
Te  0.0000  0.0000  0.0000  0.00
O  0.2016  0.7982  0.2216  -0.07
O  0.6910  0.6912  0.0001  -0.12
O  0.7987  0.2021  0.2216  -0.07
O  0.7984  0.2018  0.7784  -0.07
O  0.3090  0.3088  0.9999  -0.12
O  0.2013  0.7979  0.7784  -0.07
O  0.6685  0.6689  0.5000  -0.12
O  0.3315  0.3311  0.5000  -0.12

=====

19.
Here is a relaxed AcPuTe2O crystal from the Alexandria database. Energies are from PBE.

Values from the calculation:
energy relative to the elements, uncorrected	-1.845	eV/atom

Lattice parameters (Å, degrees): 4.3142 4.3142 16.5631 90.00 90.00 90.00
Last column: magnetic moment on the atom in μB.
Positions (direct):
Ac  0.5000  0.0000  0.1457  0.00
Ac  0.0000  0.5000  0.8543  0.00
Pu  0.5000  0.0000  0.5587  4.98
Pu  0.0000  0.5000  0.4413  4.98
Te  0.0000  0.5000  0.6639  -0.08
Te  0.0000  0.5000  0.0789  0.00
Te  0.5000  0.0000  0.9211  0.00
Te  0.5000  0.0000  0.3361  -0.08
O  0.0000  0.0000  0.5000  -0.15
O  0.5000  0.5000  0.5000  -0.15

=====

20.
Here is a relaxed AcPuTeO2 crystal from the Alexandria database. Energies are from PBE.

Values from the calculation:
energy relative to the elements, uncorrected	-2.650	eV/atom

Lattice parameters (Å, degrees): 4.1156 4.1156 7.2399 106.51 106.51 90.00
Last column: magnetic moment on the atom in μB.
Positions (direct):
Ac  0.8460  0.8460  0.6919  0.01
Pu  0.1593  0.1593  0.3187  5.00
Te  0.5076  0.5076  0.0151  -0.05
O  0.7436  0.2436  0.4871  -0.05
O  0.2436  0.7436  0.4871  -0.05